1.
The following is a GGA-PBE calculation of a relaxed Y5Pa2O12 crystal, from Alexandria.

Values from the calculation:
The calculation puts the size of the total moment at 1.049 μB per formula unit. The density comes out at 6265 kg/m³. The formation energy (no corrections) is -3397 meV/atom.

Cell lengths 6.225, 6.983, 7.857 Å; angles 105.85, 90.00, 116.47 degrees
Each line ends with the local moment (μB).
Fractional coordinates of all 19 atoms:
Y  0.295  0.589  0.636  0.00
Y  0.312  0.623  0.210  0.00
Y  0.000  0.000  0.500  0.00
Y  0.688  0.377  0.790  0.00
Y  0.705  0.411  0.364  0.00
Pa  0.772  0.000  0.000  0.51
Pa  0.228  0.000  0.000  0.51
O  0.979  0.959  0.209  -0.01
O  0.085  0.646  0.884  0.00
O  0.561  0.646  0.884  0.00
O  0.104  0.697  0.441  0.00
O  0.594  0.697  0.441  0.00
O  0.509  0.018  0.818  -0.01
O  0.491  0.982  0.182  -0.01
O  0.896  0.303  0.559  0.00
O  0.406  0.303  0.559  0.00
O  0.915  0.354  0.116  0.00
O  0.439  0.354  0.116  0.00
O  0.021  0.041  0.791  -0.01

=====

2.
The following is a GGA-PBE calculation of a relaxed Y6PaO12 crystal, from Alexandria.

Values from the calculation:
The calculation puts the size of the total moment at 0.967 μB per formula unit. The density comes out at 5731 kg/m³. The formation energy (no corrections) is -3471 meV/atom.

Cell lengths 6.620, 6.620, 6.620 Å; angles 99.35, 99.35, 99.35 degrees
Each line ends with the local moment (μB).
Fractional coordinates of all 19 atoms:
Y  0.687  0.858  0.392  0.00
Y  0.608  0.313  0.142  0.00
Y  0.142  0.608  0.313  0.00
Y  0.313  0.142  0.608  0.00
Y  0.392  0.687  0.858  0.00
Y  0.858  0.392  0.687  0.00
Pa  0.000  0.000  0.000  0.02
O  0.822  0.570  0.417  0.10
O  0.417  0.822  0.570  0.10
O  0.570  0.417  0.822  0.10
O  0.178  0.430  0.583  0.10
O  0.583  0.178  0.430  0.10
O  0.430  0.583  0.178  0.10
O  0.076  0.944  0.316  0.04
O  0.056  0.684  0.924  0.04
O  0.684  0.924  0.056  0.04
O  0.924  0.056  0.684  0.04
O  0.944  0.316  0.076  0.04
O  0.316  0.076  0.944  0.04

=====

3.
The following is a GGA-PBE calculation of a relaxed YPaO2 crystal, from Alexandria.

Values from the calculation:
The calculation puts the size of the total moment at 0.002 μB per formula unit. The density comes out at 7959 kg/m³. The formation energy (no corrections) is -2685 meV/atom.

Cell lengths 3.644, 3.644, 6.721 Å; angles 74.27, 74.27, 60.00 degrees
Fractional coordinates of all 4 atoms:
Y  0.500  0.500  0.500
Pa  0.000  0.000  0.000
O  0.113  0.113  0.662
O  0.887  0.887  0.338

=====

4.
The following is a GGA-PBE calculation of a relaxed Y2PaO6 crystal, from Alexandria.

Values from the calculation:
The calculation puts the size of the total moment at 0.727 μB per formula unit. The density comes out at 7020 kg/m³. The formation energy (no corrections) is -3371 meV/atom. Its relative energy among the computed polymorphs is 0.0 meV per atom.

Cell lengths 3.856, 5.426, 6.608 Å; angles 114.24, 106.97, 90.00 degrees
Each line ends with the local moment (μB).
Fractional coordinates of all 9 atoms:
Y  0.332  0.332  0.664  -0.01
Y  0.668  0.668  0.336  -0.01
Pa  0.000  0.000  0.000  0.00
O  0.839  0.083  0.679  0.12
O  0.161  0.405  0.322  0.12
O  0.161  0.917  0.321  0.12
O  0.500  0.238  0.000  0.07
O  0.839  0.595  0.678  0.12
O  0.500  0.762  0.000  0.07

=====

5.
The following is a GGA-PBE calculation of a relaxed Y2PaO6 crystal, from Alexandria.

Values from the calculation:
The calculation puts the size of the total moment at 0.705 μB per formula unit. The density comes out at 5972 kg/m³. The formation energy (no corrections) is -3285 meV/atom. Its relative energy among the computed polymorphs is 86.6 meV per atom.

Cell lengths 5.147, 5.147, 10.600 Å; angles 90.00, 90.00, 90.00 degrees
Each line ends with the local moment (μB).
Fractional coordinates of all 18 atoms:
Y  0.000  0.000  0.334  0.00
Y  0.500  0.500  0.834  0.00
Y  0.500  0.500  0.166  0.00
Y  0.000  0.000  0.666  0.00
Pa  0.000  0.000  0.000  -0.04
Pa  0.500  0.500  0.500  -0.04
O  0.312  0.312  0.341  -0.09
O  0.688  0.688  0.341  -0.09
O  0.188  0.812  0.841  -0.09
O  0.812  0.188  0.841  -0.09
O  0.188  0.812  0.159  -0.09
O  0.812  0.188  0.159  -0.09
O  0.312  0.312  0.659  -0.09
O  0.688  0.688  0.659  -0.09
O  0.299  0.299  0.000  -0.10
O  0.701  0.701  0.000  -0.10
O  0.201  0.799  0.500  -0.10
O  0.799  0.201  0.500  -0.10

=====

6.
The following is a GGA-PBE calculation of a relaxed YPaO4 crystal, from Alexandria.

Values from the calculation:
The calculation puts the size of the total moment at 0.000 μB per formula unit. The density comes out at 8109 kg/m³. The formation energy (no corrections) is -3705 meV/atom.

Cell lengths 3.814, 3.814, 5.405 Å; angles 90.00, 90.00, 90.00 degrees
Fractional coordinates of all 6 atoms:
Y  0.000  0.000  0.000
Pa  0.500  0.500  0.500
O  0.500  0.000  0.739
O  0.000  0.500  0.261
O  0.500  0.000  0.261
O  0.000  0.500  0.739

=====

7.
The following is a GGA-PBE calculation of a relaxed YPaO4 crystal, from Alexandria.

Values from the calculation:
The calculation puts the size of the total moment at 0.000 μB per formula unit. The density comes out at 8103 kg/m³. The formation energy (no corrections) is -3707 meV/atom.

Cell lengths 6.606, 6.606, 6.606 Å; angles 131.71, 131.71, 70.68 degrees
Fractional coordinates of all 12 atoms:
Y  0.000  0.000  0.000
Y  0.750  0.250  0.500
Pa  0.500  0.500  0.000
Pa  0.250  0.750  0.500
O  0.375  0.386  0.511
O  0.875  0.864  0.489
O  0.136  0.125  0.511
O  0.614  0.125  0.989
O  0.875  0.386  0.011
O  0.614  0.625  0.489
O  0.136  0.625  0.011
O  0.375  0.864  0.989

=====

8.
The following is a GGA-PBE calculation of a relaxed YPa2O6 crystal, from Alexandria.

Values from the calculation:
The calculation puts the size of the total moment at 1.051 μB per formula unit. The density comes out at 8888 kg/m³. The formation energy (no corrections) is -3657 meV/atom.

Cell lengths 3.873, 3.873, 9.306 Å; angles 90.00, 90.00, 120.00 degrees
Each line ends with the local moment (μB).
Fractional coordinates of all 9 atoms:
Y  0.000  0.000  0.000  0.01
Pa  0.333  0.667  0.672  0.51
Pa  0.667  0.333  0.328  0.51
O  0.000  0.000  0.259  -0.01
O  0.333  0.667  0.906  -0.01
O  0.667  0.333  0.584  -0.02
O  0.667  0.333  0.094  -0.01
O  0.000  0.000  0.741  -0.01
O  0.333  0.667  0.416  -0.02

=====

9.
The following is a GGA-PBE calculation of a relaxed YPa4O10 crystal, from Alexandria.

Values from the calculation:
The calculation puts the size of the total moment at 2.480 μB per formula unit. The density comes out at 9612 kg/m³. The formation energy (no corrections) is -3621 meV/atom.

Cell lengths 3.869, 3.869, 15.795 Å; angles 82.97, 82.97, 60.00 degrees
Each line ends with the local moment (μB).
Fractional coordinates of all 15 atoms:
Y  0.000  0.000  0.000  0.01
Pa  0.399  0.399  0.804  0.50
Pa  0.800  0.800  0.601  0.66
Pa  0.200  0.200  0.399  0.66
Pa  0.601  0.601  0.196  0.50
O  0.949  0.949  0.154  -0.01
O  0.150  0.150  0.551  -0.02
O  0.550  0.550  0.349  -0.02
O  0.352  0.352  0.944  -0.01
O  0.750  0.750  0.751  -0.02
O  0.648  0.648  0.056  -0.01
O  0.850  0.850  0.449  -0.02
O  0.250  0.250  0.249  -0.02
O  0.051  0.051  0.846  -0.01
O  0.450  0.450  0.651  -0.02

=====

10.
The following is a GGA-PBE calculation of a relaxed PaZnO4 crystal, from Alexandria.

Values from the calculation:
The calculation puts the size of the total moment at 0.000 μB per formula unit. The density comes out at 7193 kg/m³. The formation energy (no corrections) is -2338 meV/atom.

Cell lengths 5.083, 6.318, 5.633 Å; angles 113.05, 90.00, 90.00 degrees
Fractional coordinates of all 12 atoms:
Pa  0.000  0.500  0.500
Pa  0.500  0.000  0.500
Zn  0.500  0.500  0.000
Zn  0.000  0.000  0.000
O  0.291  0.874  0.167
O  0.209  0.374  0.167
O  0.686  0.649  0.335
O  0.186  0.851  0.665
O  0.814  0.149  0.335
O  0.314  0.351  0.665
O  0.791  0.626  0.833
O  0.709  0.126  0.833

=====

11.
The following is a GGA-PBE calculation of a relaxed Pa3ZnO crystal, from Alexandria.

Values from the calculation:
The calculation puts the size of the total moment at 0.000 μB per formula unit. The density comes out at 12339 kg/m³. The formation energy (no corrections) is -819 meV/atom.

Cell lengths 4.706, 4.706, 4.706 Å; angles 90.00, 90.00, 90.00 degrees
Fractional coordinates of all 5 atoms:
Zn  0.500  0.500  0.500
Pa  0.000  0.500  0.000
Pa  0.000  0.000  0.500
Pa  0.500  0.000  0.000
O  0.000  0.000  0.000

=====

12.
The following is a GGA-PBE calculation of a relaxed PaZn4O6 crystal, from Alexandria.

Values from the calculation:
The calculation puts the size of the total moment at 0.000 μB per formula unit. The density comes out at 5729 kg/m³. The formation energy (no corrections) is -1808 meV/atom.

Cell lengths 4.374, 9.522, 6.651 Å; angles 135.71, 109.20, 90.00 degrees
Fractional coordinates of all 11 atoms:
Pa  0.500  0.500  0.000
Zn  0.202  0.971  0.657
Zn  0.545  0.029  0.343
Zn  0.455  0.686  0.657
Zn  0.798  0.314  0.343
O  0.317  0.148  0.617
O  0.300  0.469  0.617
O  0.683  0.531  0.383
O  0.500  0.000  0.000
O  0.700  0.852  0.383
O  0.000  0.500  0.000